(1)
Mg2ReBr, relaxed, DFT PBEsol; density of states at the Fermi level = 0.31 states/eV per atom; formation energy (no corrections) = 0.333 eV per atom; space-group type = Imm2; final energy = -17.30 eV/f.u.
1.0
-1.6322 -2.2924 -0.9163
-0.9946 -1.0707 4.4501
-3.5333 5.2245 -1.9977
Br Mg Re
1 2 1
direct
0.1844 0.6844 0.3687
0.9825 0.9825 0.9649
0.8207 0.3207 0.6414
0.5125 0.5125 0.0249



(2)
MgReRhBr2, relaxed, DFT PBEsol; density of states at the Fermi level = 0.52 states/eV per atom; formation energy (no corrections) = 1.288 eV per atom; space-group type = P4/mmm; final energy = -20.49 eV/f.u.
1.0
4.9025 0.0000 0.0000
0.0000 4.9025 0.0000
0.0000 0.0000 5.0727
Re Mg Rh Br
1 1 1 2
direct
0.5000 0.5000 0.5000
0.0000 0.0000 0.5000
0.0000 0.0000 0.0000
0.0000 0.5000 0.0000
0.5000 0.0000 0.0000



(3)
MgRhBr2, relaxed, DFT PBEsol; density of states at the Fermi level = 0.35 states/eV per atom; formation energy (no corrections) = -0.393 eV per atom; space-group type = Cm; final energy = -15.17 eV/f.u.
1.0
3.7008 0.0000 0.0000
-1.8504 3.9104 -0.0878
0.0000 -1.0737 7.1575
Br Mg Rh
2 1 1
direct
0.1044 0.2087 0.0933
0.7383 0.4766 0.6608
0.4650 0.9300 0.3024
0.1923 0.3846 0.4435



(4)
MgRhBr2, relaxed, DFT PBEsol; density of states at the Fermi level = 0.84 states/eV per atom; formation energy (no corrections) = -0.378 eV per atom; space-group type = R3m; final energy = -15.11 eV/f.u.
1.0
-1.0695 -0.7791 3.4066
2.3812 -1.4141 2.3845
2.4899 6.6645 4.2662
Br Mg Rh
2 1 1
direct
0.9704 0.9704 0.0888
0.7711 0.7711 0.6867
0.5047 0.5047 0.4858
0.2537 0.2537 0.2388



(5)
MgRh2Br, relaxed, DFT PBEsol; density of states at the Fermi level = 1.26 states/eV per atom; formation energy (no corrections) = 0.141 eV per atom; space-group type = P4/mmm; final energy = -19.30 eV/f.u.
1.0
-1.8606 -0.9140 2.3666
2.5327 -0.8394 1.6670
0.2926 5.7504 2.4509
Br Mg Rh
1 1 2
direct
0.5000 0.5000 0.0000
0.5000 0.5000 0.5000
0.0000 0.0000 0.7434
0.0000 0.0000 0.2566



(6)
MgRhBr2, relaxed, DFT PBEsol; density of states at the Fermi level = 1.00 states/eV per atom; formation energy (no corrections) = 0.042 eV per atom; space-group type = P4/mmm; final energy = -13.43 eV/f.u.
1.0
-0.6426 2.1743 -2.5017
-2.9672 0.7582 1.4211
2.9017 4.8509 3.4708
Br Mg Rh
2 1 1
direct
0.0000 0.0000 0.7498
0.0000 0.0000 0.2502
0.5000 0.5000 0.0000
0.5000 0.5000 0.5000



(7)
MgRhBr2, relaxed, DFT PBEsol; density of states at the Fermi level = 0.71 states/eV per atom; formation energy (no corrections) = -0.026 eV per atom; space-group type = Cmmm; final energy = -13.70 eV/f.u.
1.0
3.5649 0.1090 0.0000
-1.5753 3.1998 0.0000
0.0000 0.0000 7.0972
Br Mg Rh
2 1 1
direct
0.0000 0.0000 0.2410
0.0000 0.0000 0.7590
0.5000 0.5000 0.5000
0.5000 0.5000 0.0000



(8)
MgRhSe2Br, relaxed, DFT PBEsol; density of states at the Fermi level = 1.45 states/eV per atom; formation energy (no corrections) = 0.572 eV per atom; space-group type = P4/mmm; final energy = -16.57 eV/f.u.
1.0
-4.6548 -0.6816 1.4140
-1.3872 -0.2849 -4.7038
0.7363 -4.8669 0.0776
Mg Rh Se Br
1 1 2 1
direct
0.0000 0.0000 0.0000
0.5000 0.5000 0.5000
0.0000 0.5000 0.0000
0.5000 0.0000 0.0000
0.0000 0.0000 0.5000



(9)
MgRuBr3, relaxed, DFT PBEsol; density of states at the Fermi level = 1.01 states/eV per atom; formation energy (no corrections) = -0.016 eV per atom; space-group type = Pm-3m; final energy = -17.58 eV/f.u.
1.0
-3.1698 -3.8286 -0.0235
3.8163 -3.1619 0.3804
-0.3080 0.2245 4.9559
Ru Mg Br
1 1 3
direct
0.0000 0.0000 0.0000
0.5000 0.5000 0.5000
0.0000 0.5000 0.0000
0.0000 0.0000 0.5000
0.5000 0.0000 0.0000



(10)
MgRuBr2, relaxed, DFT PBEsol; density of states at the Fermi level = 0.32 states/eV per atom; formation energy (no corrections) = -0.218 eV per atom; space-group type = Immm; final energy = -16.50 eV/f.u.
1.0
-3.2812 -1.3899 -0.3067
0.5267 -6.3701 2.3789
-0.7952 -3.9403 5.5098
Br Mg Ru
2 1 1
direct
0.3585 0.6415 0.6415
0.6415 0.3585 0.3585
0.5000 0.0000 0.0000
0.0000 0.5000 0.5000



(11)
Mg2RuBr2, relaxed, DFT PBEsol; density of states at the Fermi level = 0.77 states/eV per atom; formation energy (no corrections) = 0.119 eV per atom; space-group type = I4/mmm; final energy = -16.75 eV/f.u.
1.0
5.2781 0.0000 0.0000
-2.6391 4.6607 0.0060
0.0000 2.9830 4.3543
Ru Mg Br
1 2 2
direct
0.0000 0.0000 0.0000
0.7500 0.5000 0.7500
0.2500 0.5000 0.2500
0.6909 0.3818 0.3091
0.3091 0.6182 0.6909



(12)
Mg2SnRuBr, relaxed, DFT PBEsol; density of states at the Fermi level = 0.63 states/eV per atom; formation energy (no corrections) = 1.049 eV per atom; space-group type = P4/mmm; final energy = -14.49 eV/f.u.
1.0
4.8186 0.0000 0.0000
0.0000 4.8186 0.0000
0.0000 0.0000 5.4368
Ru Mg Sn Br
1 2 1 1
direct
0.5000 0.5000 0.5000
0.0000 0.5000 0.0000
0.5000 0.0000 0.0000
0.0000 0.0000 0.5000
0.0000 0.0000 0.0000